## Tm2V2O7 (PBE+U)

Data for a relaxed structure of Tm2V2O7.

The calculation puts the final energy at -171.91 eV for the cell shown.

The space group is Cmmm (No. 65) and the conventional cell measures 6.831, 7.293 and 5.092 Å, with angles of 90.00, 90.00 and 90.00 degrees. The inequivalent atoms are Tm at (0.240, 0.000, 0.000), V at (0.000, 0.230, 0.500), O at (0.000, 0.000, 0.273), O at (0.000, 0.500, 0.500) and O at (0.250, 0.250, 0.260).